This record from Alexandria describes crystalline Tb3Ce2ThSe6 at its relaxed geometry. The functional is GGA-PBE.

```
data_Tb3Ce2ThSe6
_chemical_formula_sum 'Tb6 Ce4 Th2 Se12'
_space_group_name_H-M_alt 'C 1 2/m 1'
_space_group_IT_number 12
_cell_length_a 18.2274
_cell_length_b 4.1104
_cell_length_c 8.3804
_cell_angle_alpha 90.00
_cell_angle_beta 105.10
_cell_angle_gamma 90.00
loop_
_space_group_symop_operation_xyz
'x,y,z'
'-x,-y,-z'
'-x,y,-z'
'x,-y,z'
'x+1/2,y+1/2,z'
'-x+1/2,-y+1/2,-z'
'-x+1/2,y+1/2,-z'
'x+1/2,-y+1/2,z'
loop_
_atom_site_label
_atom_site_type_symbol
_atom_site_fract_x
_atom_site_fract_y
_atom_site_fract_z
Tb1 Tb 0.0000 0.0000 0.0000
Tb2 Tb 0.1660 0.5000 0.3329
Ce1 Ce 0.1656 0.5000 0.8311
Th1 Th 0.0000 0.0000 0.5000
Se1 Se 0.0028 0.5000 0.2426
Se2 Se 0.1649 0.0000 0.0884
Se3 Se 0.1698 0.0000 0.5771
```

Values from the calculation:
The total energy is -6.260 eV per atom. The total moment comes out at 4.24 μB per cell.

***

This record from Alexandria describes crystalline LaZnTc2 at its relaxed geometry. The functional is GGA-PBE.

```
data_LaZnTc2
_chemical_formula_sum 'La3 Zn3 Tc6'
_space_group_name_H-M_alt 'R 3 m'
_space_group_IT_number 160
_space_group_name_Hall 'R 3 -2"'
_cell_length_a 2.9216
_cell_length_b 2.9216
_cell_length_c 29.5585
_cell_angle_alpha 90.00
_cell_angle_beta 90.00
_cell_angle_gamma 120.00
loop_
_atom_site_label
_atom_site_type_symbol
_atom_site_fract_x
_atom_site_fract_y
_atom_site_fract_z
La1 La 0.0000 0.0000 0.0000
Zn1 Zn 0.0000 0.0000 0.7635
Tc1 Tc 0.0000 0.0000 0.2385
Tc2 Tc 0.0000 0.0000 0.5041
```

Values from the calculation:
The total energy is -6.383 eV per atom. The total moment comes out at 1.50 μB per cell.

***

This record from Alexandria describes crystalline Sm3U5Te12 at its relaxed geometry. The functional is GGA-PBE.

```
data_Sm3U5Te12
_chemical_formula_sum 'Sm24 U40 Te96'
_space_group_name_H-M_alt 'I a -3 d'
_space_group_IT_number 230
_space_group_name_Hall '-I 4bd 2c 3'
_cell_length_a 18.4003
_cell_length_b 18.4003
_cell_length_c 18.4003
_cell_angle_alpha 90.00
_cell_angle_beta 90.00
_cell_angle_gamma 90.00
loop_
_atom_site_label
_atom_site_type_symbol
_atom_site_fract_x
_atom_site_fract_y
_atom_site_fract_z
Sm1 Sm 0.0000 0.2500 0.1250
U1 U 0.0000 0.0000 0.0000
U2 U 0.0000 0.2500 0.3750
Te1 Te 0.0220 0.0751 0.6516
```

Values from the calculation:
The total energy is -5.982 eV per atom. The total moment comes out at 120.09 μB per cell.

***

This record from Alexandria describes crystalline LiMnPt2 at its relaxed geometry. The functional is GGA-PBE.

```
data_LiMnPt2
_chemical_formula_sum 'Li3 Mn3 Pt6'
_space_group_name_H-M_alt 'R 3 m'
_space_group_IT_number 160
_space_group_name_Hall 'R 3 -2"'
_cell_length_a 2.7834
_cell_length_b 2.7834
_cell_length_c 27.1893
_cell_angle_alpha 90.00
_cell_angle_beta 90.00
_cell_angle_gamma 120.00
loop_
_atom_site_label
_atom_site_type_symbol
_atom_site_fract_x
_atom_site_fract_y
_atom_site_fract_z
Li1 Li 0.0000 0.0000 0.0000
Mn1 Mn 0.0000 0.0000 0.2436
Pt1 Pt 0.0000 0.0000 0.4993
Pt2 Pt 0.0000 0.0000 0.7416
```

Values from the calculation:
Its relative energy among the computed polymorphs is 349 meV/atom. The total moment comes out at 12.24 μB per cell.

***

This record from Alexandria describes crystalline Th4Sn2Ir at its relaxed geometry. The functional is GGA-PBE.

```
data_Th4Sn2Ir
_chemical_formula_sum 'Th8 Sn4 Ir2'
_space_group_name_H-M_alt 'P 1 21/m 1'
_space_group_IT_number 11
_cell_length_a 6.4834
_cell_length_b 6.6768
_cell_length_c 9.8331
_cell_angle_alpha 90.00
_cell_angle_beta 103.67
_cell_angle_gamma 90.00
loop_
_space_group_symop_operation_xyz
'x,y,z'
'-x,-y,-z'
'-x,y+1/2,-z'
'x,-y+1/2,z'
loop_
_atom_site_label
_atom_site_type_symbol
_atom_site_fract_x
_atom_site_fract_y
_atom_site_fract_z
Th1 Th 0.1884 0.2500 0.1086
Th2 Th 0.2549 0.5209 0.7428
Th3 Th 0.3113 0.7500 0.4092
Sn1 Sn 0.1790 0.2500 0.4446
Sn2 Sn 0.3584 0.7500 0.0523
Ir1 Ir 0.0103 0.7500 0.1669
```

Values from the calculation:
The total energy is -7.134 eV per atom. The total moment comes out at 0.00 μB per cell.

***

This record from Alexandria describes crystalline SrMg2Ag2Hg2 at its relaxed geometry. The functional is GGA-PBE.

```
data_SrMg2Ag2Hg2
_chemical_formula_sum 'Sr3 Mg6 Ag6 Hg6'
_space_group_name_H-M_alt 'R -3 m'
_space_group_IT_number 166
_space_group_name_Hall '-R 3 2"'
_cell_length_a 4.7705
_cell_length_b 4.7705
_cell_length_c 25.9396
_cell_angle_alpha 90.00
_cell_angle_beta 90.00
_cell_angle_gamma 120.00
loop_
_atom_site_label
_atom_site_type_symbol
_atom_site_fract_x
_atom_site_fract_y
_atom_site_fract_z
Sr1 Sr 0.0000 0.0000 0.0000
Mg1 Mg 0.0000 0.0000 0.1389
Ag1 Ag 0.0000 0.0000 0.4444
Hg1 Hg 0.0000 0.0000 0.2581
```

Values from the calculation:
The total energy is -1.844 eV per atom. The total moment comes out at 0.00 μB per cell.

***

This record from Alexandria describes crystalline Mn2VMoH at its relaxed geometry. The functional is GGA-PBE.

```
data_Mn2VMoH
_chemical_formula_sum 'Mn2 V1 Mo1 H1'
_space_group_name_H-M_alt 'P 4/m m m'
_space_group_IT_number 123
_space_group_name_Hall '-P 4 2'
_cell_length_a 3.6498
_cell_length_b 3.6498
_cell_length_c 4.1051
_cell_angle_alpha 90.00
_cell_angle_beta 90.00
_cell_angle_gamma 90.00
loop_
_atom_site_label
_atom_site_type_symbol
_atom_site_fract_x
_atom_site_fract_y
_atom_site_fract_z
Mn1 Mn 0.0000 0.5000 0.0000
V1 V 0.0000 0.0000 0.5000
Mo1 Mo 0.5000 0.5000 0.5000
H1 H 0.0000 0.0000 0.0000
```

Values from the calculation:
Its relative energy among the computed polymorphs is 0 meV/atom. The total moment comes out at 3.58 μB per cell.

***

This record from Alexandria describes crystalline AcErNb2O8 at its relaxed geometry. The functional is GGA-PBE.

```
data_AcErNb2O8
_chemical_formula_sum 'Ac2 Er2 Nb4 O16'
_space_group_name_H-M_alt 'I -4'
_space_group_IT_number 82
_cell_length_a 5.3972
_cell_length_b 5.3972
_cell_length_c 11.5815
_cell_angle_alpha 90.00
_cell_angle_beta 90.00
_cell_angle_gamma 90.00
loop_
_space_group_symop_operation_xyz
'x,y,z'
'y,-x,-z'
'-x,-y,z'
'-y,x,-z'
'x+1/2,y+1/2,z+1/2'
'y+1/2,-x+1/2,-z+1/2'
'-x+1/2,-y+1/2,z+1/2'
'-y+1/2,x+1/2,-z+1/2'
loop_
_atom_site_label
_atom_site_type_symbol
_atom_site_fract_x
_atom_site_fract_y
_atom_site_fract_z
Ac1 Ac 0.0000 0.0000 0.0000
Er1 Er 0.0000 0.5000 0.7500
Nb1 Nb 0.0000 0.0000 0.5000
Nb2 Nb 0.0000 0.5000 0.2500
O1 O 0.1491 0.2519 0.5909
O2 O 0.1780 0.7472 0.1686
```

Values from the calculation:
The total energy is -8.776 eV per atom. The total moment comes out at 0.00 μB per cell.